Entry 1:
# NbWSe2 PBE-GGA relaxed
data_NbWSe2
_space_group_name_H-M_alt 'P 1'
_space_group_IT_number 1
_cell_length_a 5.983
_cell_length_b 5.983
_cell_length_c 6.786
_cell_angle_alpha 63.84
_cell_angle_beta 63.84
_cell_angle_gamma 90.00
loop_
_space_group_symop_operation_xyz
'x,y,z'
loop_
_atom_site_label
_atom_site_fract_x
_atom_site_fract_y
_atom_site_fract_z
W1 0.750 0.250 0.500
W2 0.000 0.000 0.000
Nb1 0.250 0.750 0.500
Nb2 0.500 0.500 0.000
Se1 0.875 0.888 0.750
Se2 0.375 0.362 0.750
Se3 0.638 0.125 0.250
Se4 0.112 0.625 0.250
# **Crystal system**: tetragonal
# **ρ**: 7.60 Mg/m³
# **Calculated total energy**: -6.958 eV per atom
# **Polymorph energy (0 for the lowest one)**: 487 meV per atom
# **Raw formation energy**: 0.54 eV per atom


Entry 2:
# NbWSe3 PBE-GGA relaxed
data_NbWSe3
_space_group_name_H-M_alt 'P 1'
_space_group_IT_number 1
_cell_length_a 4.913
_cell_length_b 4.913
_cell_length_c 4.913
_cell_angle_alpha 90.00
_cell_angle_beta 90.00
_cell_angle_gamma 90.00
loop_
_space_group_symop_operation_xyz
'x,y,z'
loop_
_atom_site_label
_atom_site_fract_x
_atom_site_fract_y
_atom_site_fract_z
Se1 0.000 0.500 0.000
Se2 0.500 0.000 0.000
Se3 0.000 0.000 0.500
W1 0.000 0.000 0.000
Nb1 0.500 0.500 0.500
# **Crystal system**: cubic
# **ρ**: 7.19 Mg/m³
# **Calculated total energy**: -5.958 eV per atom
# **Polymorph energy (0 for the lowest one)**: 911 meV per atom
# **Raw formation energy**: 0.74 eV per atom


Entry 3:
# NbW4Se8 PBE-GGA relaxed
data_NbW4Se8
_space_group_name_H-M_alt 'P 1'
_space_group_IT_number 1
_cell_length_a 6.616
_cell_length_b 6.616
_cell_length_c 8.278
_cell_angle_alpha 90.00
_cell_angle_beta 113.55
_cell_angle_gamma 120.00
loop_
_space_group_symop_operation_xyz
'x,y,z'
loop_
_atom_site_label
_atom_site_fract_x
_atom_site_fract_y
_atom_site_fract_z
Se1 0.009 0.753 0.761
Se2 0.991 0.744 0.239
Se3 0.490 0.745 0.235
Se4 0.009 0.256 0.761
Se5 0.510 0.255 0.765
Se6 0.991 0.247 0.239
Se7 0.495 0.247 0.239
Se8 0.505 0.753 0.761
Nb1 0.000 0.500 0.500
W1 0.500 0.500 0.000
W2 0.000 0.000 0.000
W3 0.000 0.500 0.000
W4 0.500 0.000 0.000
# **Crystal system**: trigonal
# **ρ**: 8.71 Mg/m³
# **Calculated total energy**: -6.967 eV per atom
# **Raw formation energy**: -0.06 eV per atom


Entry 4:
# NbW3Se PBE-GGA relaxed
data_NbW3Se
_space_group_name_H-M_alt 'P 1'
_space_group_IT_number 1
_cell_length_a 4.574
_cell_length_b 4.574
_cell_length_c 4.574
_cell_angle_alpha 90.00
_cell_angle_beta 90.00
_cell_angle_gamma 90.00
loop_
_space_group_symop_operation_xyz
'x,y,z'
loop_
_atom_site_label
_atom_site_fract_x
_atom_site_fract_y
_atom_site_fract_z
Nb1 0.500 0.500 0.500
W1 0.000 0.000 0.500
W2 0.000 0.500 0.000
W3 0.500 0.000 0.000
Se1 0.000 0.000 0.000
# **Crystal system**: cubic
# **ρ**: 12.55 Mg/m³
# **Calculated total energy**: -9.023 eV per atom
# **Polymorph energy (0 for the lowest one)**: 0 meV per atom
# **Raw formation energy**: 1.46 eV per atom


Entry 5:
# Nb2WSe PBE-GGA relaxed
data_Nb2WSe
_space_group_name_H-M_alt 'P 1'
_space_group_IT_number 1
_cell_length_a 3.957
_cell_length_b 3.957
_cell_length_c 9.836
_cell_angle_alpha 78.40
_cell_angle_beta 78.40
_cell_angle_gamma 90.00
loop_
_space_group_symop_operation_xyz
'x,y,z'
loop_
_atom_site_label
_atom_site_fract_x
_atom_site_fract_y
_atom_site_fract_z
Se1 0.250 0.750 0.500
Se2 0.500 0.500 0.000
W1 0.000 0.000 0.000
W2 0.750 0.250 0.500
Nb1 0.137 0.625 0.250
Nb2 0.375 0.387 0.750
Nb3 0.613 0.125 0.250
Nb4 0.875 0.863 0.750
# **Crystal system**: tetragonal
# **ρ**: 10.09 Mg/m³
# **Calculated total energy**: -8.503 eV per atom
# **Raw formation energy**: 0.64 eV per atom


Entry 6:
# NbWSe6 PBE-GGA relaxed
data_NbWSe6
_space_group_name_H-M_alt 'P 1'
_space_group_IT_number 1
_cell_length_a 6.434
_cell_length_b 6.560
_cell_length_c 7.209
_cell_angle_alpha 56.69
_cell_angle_beta 55.96
_cell_angle_gamma 56.65
loop_
_space_group_symop_operation_xyz
'x,y,z'
loop_
_atom_site_label
_atom_site_fract_x
_atom_site_fract_y
_atom_site_fract_z
Se1 0.648 0.145 0.857
Se2 0.354 0.853 0.651
Se3 0.946 0.566 0.244
Se4 0.646 0.147 0.349
Se5 0.054 0.434 0.756
Se6 0.352 0.855 0.143
Nb1 0.500 0.500 0.500
W1 0.000 0.000 0.000
# **Crystal system**: triclinic
# **ρ**: 6.31 Mg/m³
# **Calculated total energy**: -5.726 eV per atom
# **Raw formation energy**: -0.23 eV per atom


Entry 7:
# YNb2Se PBE-GGA relaxed
data_YNb2Se
_space_group_name_H-M_alt 'P 1'
_space_group_IT_number 1
_cell_length_a 3.967
_cell_length_b 3.967
_cell_length_c 11.284
_cell_angle_alpha 79.88
_cell_angle_beta 79.88
_cell_angle_gamma 90.00
loop_
_space_group_symop_operation_xyz
'x,y,z'
loop_
_atom_site_label
_atom_site_fract_x
_atom_site_fract_y
_atom_site_fract_z
Nb1 0.615 0.125 0.250
Nb2 0.375 0.385 0.750
Nb3 0.135 0.625 0.250
Nb4 0.875 0.865 0.750
Y1 0.750 0.250 0.500
Y2 0.000 0.000 0.000
Se1 0.500 0.500 0.000
Se2 0.250 0.750 0.500
# **Crystal system**: tetragonal
# **ρ**: 6.83 Mg/m³
# **Calculated total energy**: -7.565 eV per atom
# **Raw formation energy**: -0.04 eV per atom


Entry 8:
# YNb6Se8 PBE-GGA relaxed
data_YNb6Se8
_space_group_name_H-M_alt 'P 1'
_space_group_IT_number 1
_cell_length_a 6.873
_cell_length_b 6.873
_cell_length_c 6.873
_cell_angle_alpha 87.51
_cell_angle_beta 87.51
_cell_angle_gamma 87.51
loop_
_space_group_symop_operation_xyz
'x,y,z'
loop_
_atom_site_label
_atom_site_fract_x
_atom_site_fract_y
_atom_site_fract_z
Nb1 0.450 0.792 0.585
Nb2 0.415 0.550 0.208
Nb3 0.792 0.585 0.450
Nb4 0.550 0.208 0.415
Nb5 0.208 0.415 0.550
Nb6 0.585 0.450 0.792
Se1 0.771 0.771 0.771
Se2 0.229 0.229 0.229
Se3 0.616 0.873 0.232
Se4 0.768 0.384 0.127
Se5 0.873 0.232 0.616
Se6 0.232 0.616 0.873
Se7 0.384 0.127 0.768
Se8 0.127 0.768 0.384
Y1 0.000 0.000 0.000
# **Crystal system**: trigonal
# **ρ**: 6.55 Mg/m³
# **Calculated total energy**: -7.167 eV per atom
# **Raw formation energy**: -0.85 eV per atom


Entry 9:
# Y2NbSe PBE-GGA relaxed
data_Y2NbSe
_space_group_name_H-M_alt 'P 1'
_space_group_IT_number 1
_cell_length_a 3.550
_cell_length_b 3.550
_cell_length_c 9.806
_cell_angle_alpha 79.57
_cell_angle_beta 79.57
_cell_angle_gamma 60.00
loop_
_space_group_symop_operation_xyz
'x,y,z'
loop_
_atom_site_label
_atom_site_fract_x
_atom_site_fract_y
_atom_site_fract_z
Nb1 0.000 0.000 0.000
Y1 0.100 0.100 0.701
Y2 0.900 0.900 0.299
Se1 0.500 0.500 0.500
# **Crystal system**: trigonal
# **ρ**: 5.55 Mg/m³
# **Calculated total energy**: -6.694 eV per atom
# **Raw formation energy**: -0.07 eV per atom


Entry 10:
# Y2NbSe PBE-GGA relaxed
data_Y2NbSe
_space_group_name_H-M_alt 'P 1'
_space_group_IT_number 1
_cell_length_a 9.469
_cell_length_b 9.469
_cell_length_c 7.148
_cell_angle_alpha 48.52
_cell_angle_beta 48.52
_cell_angle_gamma 90.00
loop_
_space_group_symop_operation_xyz
'x,y,z'
loop_
_atom_site_label
_atom_site_fract_x
_atom_site_fract_y
_atom_site_fract_z
Y1 0.875 0.756 0.750
Y2 0.244 0.625 0.250
Y3 0.506 0.125 0.250
Y4 0.375 0.494 0.750
Se1 0.250 0.750 0.500
Se2 0.500 0.500 0.000
Nb1 0.750 0.250 0.500
Nb2 0.000 0.000 0.000
# **Crystal system**: tetragonal
# **ρ**: 5.18 Mg/m³
# **Calculated total energy**: -6.644 eV per atom
# **Raw formation energy**: -0.02 eV per atom


Entry 11:
# Nb12ZnSe16 PBE-GGA relaxed
data_Nb12ZnSe16
_space_group_name_H-M_alt 'P 1'
_space_group_IT_number 1
_cell_length_a 6.965
_cell_length_b 10.162
_cell_length_c 10.739
_cell_angle_alpha 118.22
_cell_angle_beta 108.93
_cell_angle_gamma 90.00
loop_
_space_group_symop_operation_xyz
'x,y,z'
loop_
_atom_site_label
_atom_site_fract_x
_atom_site_fract_y
_atom_site_fract_z
Nb1 0.822 0.380 0.891
Nb2 0.320 0.379 0.892
Nb3 0.183 0.513 0.621
Nb4 0.879 0.892 0.512
Nb5 0.687 0.512 0.620
Nb6 0.121 0.108 0.488
Nb7 0.817 0.487 0.379
Nb8 0.313 0.488 0.380
Nb9 0.680 0.621 0.108
Nb10 0.384 0.892 0.513
Nb11 0.616 0.108 0.487
Nb12 0.178 0.620 0.109
Se1 0.545 0.281 0.341
Se2 0.459 0.334 0.667
Se3 0.234 0.060 0.719
Se4 0.954 0.721 0.659
Se5 0.541 0.666 0.333
Se6 0.344 0.658 0.940
Se7 0.046 0.279 0.341
Se8 0.845 0.660 0.939
Se9 0.155 0.340 0.061
Se10 0.958 0.333 0.666
Se11 0.736 0.062 0.721
Se12 0.455 0.719 0.659
Se13 0.656 0.342 0.060
Se14 0.766 0.940 0.281
Se15 0.042 0.667 0.334
Se16 0.264 0.938 0.279
Zn1 0.000 0.000 0.000
# **Crystal system**: triclinic
# **ρ**: 6.52 Mg/m³
# **Calculated total energy**: -6.952 eV per atom
# **Raw formation energy**: -0.82 eV per atom


Entry 12:
# NbZnSe3 PBE-GGA relaxed
data_NbZnSe3
_space_group_name_H-M_alt 'P 1'
_space_group_IT_number 1
_cell_length_a 4.833
_cell_length_b 4.833
_cell_length_c 4.833
_cell_angle_alpha 90.00
_cell_angle_beta 90.00
_cell_angle_gamma 90.00
loop_
_space_group_symop_operation_xyz
'x,y,z'
loop_
_atom_site_label
_atom_site_fract_x
_atom_site_fract_y
_atom_site_fract_z
Zn1 0.000 0.000 0.000
Se1 0.000 0.500 0.000
Se2 0.500 0.000 0.000
Se3 0.000 0.000 0.500
Nb1 0.500 0.500 0.500
# **Crystal system**: cubic
# **ρ**: 5.81 Mg/m³
# **Calculated total energy**: -3.785 eV per atom
# **Polymorph energy (0 for the lowest one)**: 640 meV per atom
# **Raw formation energy**: 0.57 eV per atom